(1)
A geometry-optimized LiY2Ta structure. Source: Alexandria, functional PBE-GGA.

abc: 3.2256 5.2926 5.6697
angles: 90.00 90.04 90.00
Last column: nearest neighbours and their distance in Å.
Element x y z (fractional)
Li: 0.0000 0.0000 0.0000  6 Y 3.06-3.20, 2 Li 3.23, 2 Ta 3.27
Y: 0.5008 0.5000 0.8581  4 Ta 3.16-3.36, 4 Li 3.20, 4 Y 3.23-3.48
Y: 0.5021 0.0000 0.4594  2 Li 3.06-3.07, 4 Ta 3.17, 2 Y 3.23
Ta: 0.0019 0.5000 0.3382  8 Y 3.16-3.36, 2 Ta 3.23, 2 Li 3.27

Properties
Offset from the most stable computed form, meV per atom: 105
Symmetry: Pm (6)

(2)
A geometry-optimized ZrGa2Cu structure. Source: Alexandria, functional PBE-GGA.

abc: 9.8914 9.8914 9.8914
angles: 157.02 157.02 32.73
Last column: nearest neighbours and their distance in Å.
Element x y z (fractional)
Zr: 0.0000 0.0000 0.0000  4 Ga 2.78, 4 Cu 2.79
Zr: 0.7500 0.2500 0.5000  4 Ga 2.78, 4 Cu 2.79
Ga: 0.1453 0.6250 0.0203  4 Ga 2.68-2.90, 2 Cu 2.72, 2 Zr 2.78
Ga: 0.3750 0.3953 0.5203  4 Ga 2.68-2.90, 2 Cu 2.72, 2 Zr 2.78
Ga: 0.6047 0.1250 0.9797  4 Ga 2.68-2.90, 2 Cu 2.72, 2 Zr 2.78
Ga: 0.8750 0.8547 0.4797  4 Ga 2.68-2.90, 2 Cu 2.72, 2 Zr 2.78
Cu: 0.2500 0.7500 0.5000  4 Ga 2.72, 4 Zr 2.79
Cu: 0.5000 0.5000 0.0000  4 Ga 2.72, 4 Zr 2.79

Properties
Final energy, eV/atom: -4.66
Symmetry: I-42d (122)

- Number 2 is which compound?
  ZrGa2Cu